1.
VASP calculation (PBE) on MgTaMn after structural relaxation.

```
MgTaMn
1.0
4.4389 0.0000 0.0000
-2.2194 3.8442 0.0000
0.0000 0.0000 2.7443
Mg Ta Mn
1 1 1
Direct
0.0000 0.0000 0.0000
0.6667 0.3333 0.5728
0.3333 0.6667 0.3113
```

The value obtained for the excess energy over the best structure of this formula in the dataset is 0.44 eV/f.u. The calculation puts the formation energy at 0.32 eV per atom. The mass density is 9.226 g/cm³.

---

2.
VASP calculation (PBE) on ZnCo2Ni2 after structural relaxation.

```
ZnCo2Ni2
1.0
-1.6289 1.6289 5.9378
1.6289 -1.6289 5.9378
1.6289 1.6289 -5.9378
Zn Co Ni
1 2 2
Direct
0.0000 0.0000 0.0000
0.2500 0.7500 0.5000
0.7500 0.2500 0.5000
0.4010 0.4010 0.0000
0.5990 0.5990 0.0000
```

The value obtained for the excess energy over the best structure of this formula in the dataset is 0.56 eV/f.u. The calculation puts the formation energy at 0.25 eV per atom. The mass density is 7.922 g/cm³.

---

3.
VASP calculation (PBE) on NiPdRu after structural relaxation.

```
NiPdRu
1.0
2.6950 0.0000 0.0000
-1.3475 2.3339 0.0000
0.0000 0.0000 6.4592
Ni Pd Ru
1 1 1
Direct
0.0000 0.0000 0.0000
0.6667 0.3333 0.3369
0.3333 0.6667 0.6923
```

The calculation puts the formation energy at 0.15 eV per atom. The mass density is 10.880 g/cm³.

---

4.
VASP calculation (PBE) on PAu2F after structural relaxation.

```
PAu2F
1.0
-2.9523 2.9523 4.8799
2.9523 -2.9523 4.8799
2.9523 2.9523 -4.8799
P Au F
2 4 2
Direct
0.0000 0.0000 0.0000
0.7500 0.2500 0.5000
0.0999 0.6250 0.9749
0.3750 0.3499 0.4749
0.6501 0.1250 0.0251
0.8750 0.9001 0.5251
0.2500 0.7500 0.5000
0.5000 0.5000 0.0000
```

The value obtained for the excess energy over the best structure of this formula in the dataset is 0.00 eV/f.u. The uncorrected formation energy is -0.21 eV per atom. The mass density is 8.665 g/cm³.

---

5.
VASP calculation (PBE) on CsV2FeBr after structural relaxation.

```
CsV2FeBr
1.0
5.6396 0.0000 0.0000
0.0000 5.6396 0.0000
0.0000 0.0000 4.8918
Cs V Fe Br
1 2 1 1
Direct
0.0000 0.0000 0.0000
0.0000 0.5000 0.0000
0.5000 0.0000 0.0000
0.0000 0.0000 0.5000
0.5000 0.5000 0.5000
```

The uncorrected formation energy is 2.50 eV per atom. The mass density is 3.955 g/cm³.

---

6.
VASP calculation (PBE) on HfVSe2 after structural relaxation.

```
HfVSe2
1.0
1.6169 0.9335 8.6750
-1.6169 0.9335 8.6750
0.0000 -1.8670 8.6750
Hf V Se
1 1 2
Direct
0.0000 0.0000 0.0000
0.5000 0.5000 0.5000
0.1035 0.1035 0.1035
0.8965 0.8965 0.8965
```

The value obtained for the excess energy over the best structure of this formula in the dataset is 0.65 eV/f.u. The uncorrected formation energy is -0.38 eV per atom. The mass density is 8.187 g/cm³.

---

7.
VASP calculation (PBE) on Zr2SiAgO after structural relaxation.

```
Zr2SiAgO
1.0
5.2379 0.0000 0.0000
0.0000 5.2379 0.0000
0.0000 0.0000 4.3349
Zr Si Ag O
2 1 1 1
Direct
0.0000 0.5000 0.0000
0.5000 0.0000 0.0000
0.0000 0.0000 0.5000
0.0000 0.0000 0.0000
0.5000 0.5000 0.5000
```

The value obtained for the excess energy over the best structure of this formula in the dataset is 2.56 eV/f.u. The uncorrected formation energy is 1.07 eV per atom. The mass density is 4.669 g/cm³.

---

8.
VASP calculation (PBE) on PuNbPt2 after structural relaxation.

```
PuNbPt2
1.0
2.9403 0.0000 0.0000
0.0000 2.9403 0.0000
0.0000 0.0000 8.4562
Pu Nb Pt
1 1 2
Direct
0.0000 0.0000 0.0000
0.0000 0.0000 0.5000
0.5000 0.5000 0.2739
0.5000 0.5000 0.7261
```

The value obtained for the excess energy over the best structure of this formula in the dataset is 0.00 eV/f.u. The calculation puts the formation energy at -0.58 eV per atom. The mass density is 16.515 g/cm³.

---

9.
VASP calculation (PBE) on NpPaAl2 after structural relaxation.

```
NpPaAl2
1.0
4.1477 0.0000 0.0000
0.0000 4.1477 0.0000
0.0000 0.0000 4.7000
Np Pa Al
1 1 2
Direct
0.0000 0.0000 0.0000
0.5000 0.5000 0.0000
0.0000 0.5000 0.5000
0.5000 0.0000 0.5000
```

The value obtained for the excess energy over the best structure of this formula in the dataset is 0.00 eV/f.u. The calculation puts the formation energy at -0.06 eV per atom. The mass density is 10.720 g/cm³.

---

10.
VASP calculation (PBE) on La4TbNd2Ho after structural relaxation.

```
La4TbNd2Ho
1.0
5.2229 0.0000 0.0000
0.0000 5.2615 0.0000
-0.0128 0.0000 10.2235
La Tb Nd Ho
4 1 2 1
Direct
0.9997 0.0000 0.2493
0.0003 0.0000 0.7507
0.5002 0.5000 0.2497
0.4998 0.5000 0.7503
0.0000 0.5000 0.5000
0.0000 0.5000 0.0000
0.5000 0.0000 0.5000
0.5000 0.0000 0.0000
```

The calculation puts the formation energy at 0.02 eV per atom. The mass density is 6.903 g/cm³.